Entry 1:
TiPbAu2O6: relaxed, GGA-PBE.

* total magnetic moment: 0.00 μB per formula unit
* space group: C2/c, No. 15
* ρ: 8.28 Mg/m³
* E_form (uncorrected): -968 meV per atom

abc: 6.808 7.093 7.093
angles: 103.24 74.04 74.04
Fractional positions:
Ti  0.250  0.249  0.751
Ti  0.750  0.751  0.249
Pb  0.250  0.933  0.067
Pb  0.750  0.067  0.933
Au  0.206  0.784  0.534
Au  0.294  0.466  0.216
Au  0.794  0.216  0.466
Au  0.706  0.534  0.784
O  0.121  0.038  0.809
O  0.379  0.191  0.962
O  0.879  0.962  0.191
O  0.621  0.809  0.038
O  0.516  0.774  0.451
O  0.984  0.549  0.226
O  0.484  0.226  0.549
O  0.016  0.451  0.774
O  0.884  0.836  0.632
O  0.616  0.368  0.164
O  0.116  0.164  0.368
O  0.384  0.632  0.836



Entry 2:
TlPbAuO5: relaxed, GGA-PBE.

* total magnetic moment: 0.00 μB per formula unit
* space group: C2/c, No. 15
* ρ: 9.38 Mg/m³
* E_form (uncorrected): -405 meV per atom

abc: 6.577 6.577 7.757
angles: 117.53 117.53 95.01
Fractional positions:
Tl  0.356  0.644  0.250
Tl  0.644  0.356  0.750
Pb  0.000  0.000  0.500
Pb  0.000  0.000  0.000
Au  0.690  0.310  0.250
Au  0.310  0.690  0.750
O  0.137  0.863  0.250
O  0.863  0.137  0.750
O  0.992  0.324  0.245
O  0.008  0.676  0.755
O  0.676  0.008  0.255
O  0.324  0.992  0.745
O  0.689  0.612  0.247
O  0.311  0.388  0.753
O  0.388  0.311  0.253
O  0.612  0.689  0.747



Entry 3:
TlPb2AuO5: relaxed, GGA-PBE.

* total magnetic moment: 0.00 μB per formula unit
* space group: Cmc2_1, No. 36
* ρ: 9.93 Mg/m³
* E_form (uncorrected): -578 meV per atom

abc: 3.502 7.573 11.617
angles: 90.00 90.00 103.37
Fractional positions:
Tl  0.747  0.494  0.490
Tl  0.253  0.506  0.990
Pb  0.862  0.724  0.729
Pb  0.120  0.240  0.714
Pb  0.138  0.276  0.229
Pb  0.880  0.760  0.214
Au  0.529  0.059  0.943
Au  0.471  0.941  0.443
O  0.382  0.764  0.085
O  0.758  0.517  0.870
O  0.445  0.889  0.793
O  0.271  0.543  0.661
O  0.898  0.796  0.538
O  0.618  0.236  0.585
O  0.242  0.483  0.370
O  0.555  0.111  0.293
O  0.729  0.457  0.161
O  0.102  0.204  0.038



Entry 4:
TmPb2AuO5: relaxed, GGA-PBE.

* total magnetic moment: 0.00 μB per formula unit
* space group: Cmc2_1, No. 36
* ρ: 9.68 Mg/m³
* E_form (uncorrected): -1367 meV per atom

abc: 3.468 7.655 11.419
angles: 90.00 90.00 103.09
Fractional positions:
Tm  0.750  0.501  0.494
Tm  0.250  0.499  0.994
Pb  0.863  0.726  0.733
Pb  0.118  0.236  0.709
Pb  0.137  0.274  0.233
Pb  0.882  0.764  0.209
Au  0.531  0.063  0.945
Au  0.469  0.937  0.445
O  0.378  0.756  0.081
O  0.766  0.533  0.880
O  0.445  0.890  0.794
O  0.270  0.539  0.646
O  0.899  0.798  0.542
O  0.622  0.244  0.581
O  0.234  0.467  0.380
O  0.555  0.110  0.294
O  0.730  0.461  0.146
O  0.101  0.202  0.042